# 1
Below is crystalline SmMg4Pb at its relaxed geometry, with properties calculated at the GGA-PBE level. Values from VASP.

```
&SYSTEM
  ibrav = 0, nat = 6, ntyp = 3
/
ATOMIC_SPECIES
Sm 150.36 Sm.upf
Mg 24.30 Mg.upf
Pb 207.20 Pb.upf
ATOMIC_POSITIONS angstrom
Sm 0.0000 0.0000 0.0000
Mg 3.2101 3.2101 3.2101
Mg 5.3462 5.3462 3.2101
Mg 5.3462 3.2101 5.3462
Mg 3.2101 5.3462 5.3462
Pb 6.4173 6.4173 6.4173
CELL_PARAMETERS angstrom
0.0000 4.2782 4.2782
4.2782 0.0000 4.2782
4.2782 4.2782 0.0000
```

Computed properties:
DFT total energy	-2.504	eV/atom
space group	F-43m, No. 216
ΔH_f (0 K)	-0.0363	eV/atom


# 2
Below is crystalline Nd2Se2F at its relaxed geometry, with properties calculated at the GGA-PBE level. Values from VASP.

```
&SYSTEM
  ibrav = 0, nat = 5, ntyp = 3
/
ATOMIC_SPECIES
Nd 144.24 Nd.upf
Se 78.96 Se.upf
F 19.00 F.upf
ATOMIC_POSITIONS angstrom
Nd 0.0000 0.0000 2.3214
Nd 0.0000 0.0000 12.5145
Se 0.0000 0.0000 5.1484
Se 0.0000 0.0000 9.6876
F 0.0000 0.0000 0.0000
CELL_PARAMETERS angstrom
3.3211 0.0000 0.0000
0.0000 3.3211 0.0000
0.0000 0.0000 14.8360
```

Computed properties:
formation energy from raw total energies	-774	meV/atom
E above lowest polymorph	1.612	eV/atom
DFT total energy	-4.449	eV/atom
space group	P4/mmm, No. 123


> Among the records above, which one has the highest DFT total energy?

SmMg4Pb